Entry 1:
DFT (GGA-PBE) results for an optimized crystal structure of Ag5Pt.

Results
- Crystal system: monoclinic
- E above lowest polymorph: 10 meV per atom
- Energy of formation from the pure elements: 0.025 eV/atom

Cell lengths 10.719, 2.910, 6.994 Å; angles 90.00, 106.43, 90.00 degrees
Space group Cm (No. 8)
Symmetry-distinct sites (fractional):
1 Ag 0.000 0.000 0.000
2 Ag 0.053 0.000 0.614
3 Ag 0.165 0.500 0.333
4 Ag 0.329 0.000 0.672
5 Ag 0.385 0.000 0.275
6 Pt 0.221 0.500 0.946

---

Entry 2:
DFT (GGA-PBE) results for an optimized crystal structure of AgPt5.

Results
- Crystal system: monoclinic
- Energy of formation from the pure elements: 0.045 eV/atom

Cell lengths 10.674, 2.744, 6.843 Å; angles 90.00, 106.75, 90.00 degrees
Space group Cm (No. 8)
Symmetry-distinct sites (fractional):
1 Ag 0.000 0.000 0.000
2 Pt 0.063 0.000 0.626
3 Pt 0.167 0.500 0.332
4 Pt 0.233 0.500 0.964
5 Pt 0.329 0.000 0.666
6 Pt 0.397 0.000 0.299